Entry from Alexandria via LeMat-Bulk: crystalline CaLa2Pt at its relaxed geometry (GGA-PBE).

Cell: 4.317 4.181 7.132 Å, 90.00 101.39 90.00°
Fractional coordinates of all 4 atoms:
1 Ca 0.000 0.000 0.000
2 La 0.385 0.500 0.704
3 La 0.615 0.500 0.296
4 Pt 0.000 0.000 0.500

Crystal system: monoclinic
Density of states at the Fermi level in states/eV/cell: 4.81
Formation energy from the elements in eV/atom: -0.49
Uncorrected energy in eV per atom: -4.962
Spin magnetization in μB/f.u.: 0.00